{
  "formula": "CeMnSb",
  "functional": "PBE-GGA",
  "state": "relaxed",
  "cell": [[4.1310, 0.0000, 0.0000], [-0.0010, 4.2919, 0.0000], [-0.0040, -2.1405, 8.1602]],
  "species": ["Ce", "Ce", "Mn", "Mn", "Sb", "Sb"],
  "frac_coords": [[0.2493, 0.3926, 0.2845], [0.7507, 0.6074, 0.7155], [0.2501, 0.0326, 0.5653], [0.7499, 0.9674, 0.4347], [0.2509, 0.1902, 0.8816], [0.7491, 0.8098, 0.1184]],
  "e_form_raw_ev_per_atom": -0.2561,
  "energy_ev_per_cell": -40.0
}